No. 1
! ThMgIrPd (GGA-PBE, relaxed); values from VASP
! DFT formation energy in eV per atom: -0.68
! Density of states at the Fermi level in states/eV per atom: 0.537
! V in Å³/f.u.: 81.2
&SYSTEM
  ibrav = 0, nat = 4, ntyp = 4
/
ATOMIC_SPECIES
Th 232.04 Th.upf
Pd 106.42 Pd.upf
Ir 192.22 Ir.upf
Mg 24.30 Mg.upf
ATOMIC_POSITIONS crystal
Th 0.750 0.750 0.750
Pd 0.500 0.500 0.500
Ir 0.000 0.000 0.000
Mg 0.250 0.250 0.250
CELL_PARAMETERS angstrom
4.860 0.000 0.000
2.430 4.209 0.000
2.430 1.403 3.968

=====

No. 2
! YNi2Br (GGA-PBE, relaxed); values from VASP
! Density of states at the Fermi level in states/eV per atom: 0.661
! V in Å³/f.u.: 85.9
! Distance to the lowest polymorph of the same formula in meV/atom: 214
&SYSTEM
  ibrav = 0, nat = 4, ntyp = 3
/
ATOMIC_SPECIES
Br 79.90 Br.upf
Ni 58.69 Ni.upf
Y 88.91 Y.upf
ATOMIC_POSITIONS crystal
Br 0.500 0.500 0.698
Ni 0.500 0.500 0.214
Ni 0.000 0.000 0.131
Y 0.000 0.000 0.457
CELL_PARAMETERS angstrom
-2.289 1.640 1.858
-2.241 -2.451 -0.597
2.370 -3.665 6.155

=====

No. 3
! Tl2InBiPb (GGA-PBE, relaxed); values from VASP
! DFT formation energy in eV per atom: 0.39
! Density of states at the Fermi level in states/eV per atom: 0.647
! V in Å³/f.u.: 186.8
! Distance to the lowest polymorph of the same formula in meV/atom: 283
&SYSTEM
  ibrav = 0, nat = 5, ntyp = 4
/
ATOMIC_SPECIES
Tl 204.38 Tl.upf
In 114.82 In.upf
Pb 207.20 Pb.upf
Bi 208.98 Bi.upf
ATOMIC_POSITIONS crystal
Tl 0.000 0.000 0.500
Tl 0.500 0.000 0.000
In 0.000 0.000 0.000
Pb 0.000 0.500 0.000
Bi 0.500 0.500 0.500
CELL_PARAMETERS angstrom
-5.467 1.317 -0.320
-1.005 -4.917 -3.079
-0.956 -2.804 4.790

=====

No. 4
! Tb2Er3Cd (GGA-PBE, relaxed); values from VASP
! DFT formation energy in eV per atom: 0.16
! Density of states at the Fermi level in states/eV per atom: 1.170
! V in Å³/f.u.: 186.8
! Distance to the lowest polymorph of the same formula in meV/atom: 249
&SYSTEM
  ibrav = 0, nat = 6, ntyp = 3
/
ATOMIC_SPECIES
Er 167.26 Er.upf
Cd 112.41 Cd.upf
Tb 158.93 Tb.upf
ATOMIC_POSITIONS crystal
Er 0.368 0.493 0.736
Er 0.632 0.757 0.264
Er 0.000 0.931 0.000
Cd 0.500 0.322 0.000
Tb 0.692 0.312 0.385
Tb 0.308 0.928 0.615
CELL_PARAMETERS angstrom
3.422 0.000 0.000
0.000 6.468 0.000
-1.711 -3.234 8.440

=====

The records above give, respectively, total DFT energy (no corrections) values of -25.78, -20.74, -13.12, -22.93 eV for the cell shown.